Crystalline YBi2Pb2 at its relaxed geometry, computed with PBE.

Summary:
E_form in eV/atom: -0.15
Offset from the most stable computed form in meV/atom: 0.0
Total magnetic moment in μB per formula unit: 0.000

a = 8.246 Å, b = 8.246 Å, c = 4.831 Å
α = 90.00°, β = 90.00°, γ = 90.00°
Space group P4/mbm (No. 127)
Inequivalent atoms, fractional coordinates:
Y: 0.000 0.000 0.000 x2
Bi: 0.145 0.355 0.000 x4
Pb: 0.165 0.665 0.500 x4

Crystalline LiNbN2O at its relaxed geometry, computed with PBE.

Summary:
Formation energy without anion corrections in meV per atom: 429
Total magnetic moment in μB per formula unit: 0.485

a = 3.547 Å, b = 3.547 Å, c = 3.418 Å
α = 90.00°, β = 90.00°, γ = 90.00°
Space group P4/mmm (No. 123)
Inequivalent atoms, fractional coordinates:
Li: 0.000 0.000 0.000 x1
Nb: 0.500 0.500 0.500 x1
N: 0.000 0.500 0.000 x2
O: 0.000 0.000 0.500 x1

Crystalline LiCaAlIn2 at its relaxed geometry, computed with PBE.

Summary:
E_form in eV/atom: 0.16
Total magnetic moment in μB per formula unit: 0.000

a = 4.932 Å, b = 4.932 Å, c = 5.255 Å
α = 90.00°, β = 90.00°, γ = 90.00°
Space group P4/mmm (No. 123)
Inequivalent atoms, fractional coordinates:
Li: 0.000 0.000 0.000 x1
Ca: 0.000 0.000 0.500 x1
Al: 0.500 0.500 0.500 x1
In: 0.000 0.500 0.000 x2

Crystalline Li4Dy3BiS8 at its relaxed geometry, computed with PBE.

Summary:
Formation energy without anion corrections in meV per atom: -1570
Total magnetic moment in μB per formula unit: 0.000

a = 7.8713 Å, b = 7.8713 Å, c = 18.6324 Å
α = 90.00°, β = 90.00°, γ = 120.00°
Space group R-3m (No. 166, hexagonal axes)
Inequivalent atoms, fractional coordinates:
Li: 0.0000 0.0000 0.0000 x3
Li: 0.0000 0.5000 0.0000 x9
Dy: 0.0000 0.5000 0.5000 x9
Bi: 0.0000 0.0000 0.5000 x3
S: 0.0000 0.0000 0.2494 x6
S: 0.0063 0.5032 0.7486 x18

Crystalline BaNaAcAu at its relaxed geometry, computed with PBE.

Summary:
E_form in eV/atom: -0.18
Total magnetic moment in μB per formula unit: 0.000

a = 8.227 Å, b = 8.227 Å, c = 8.227 Å
α = 90.00°, β = 90.00°, γ = 90.00°
Space group F-43m (No. 216)
Inequivalent atoms, fractional coordinates:
Ba: 0.000 0.000 0.000 x4
Na: 0.250 0.250 0.250 x4
Ac: 0.000 0.000 0.500 x4
Au: 0.250 0.250 0.750 x4

Crystalline MgZrScCd at its relaxed geometry, computed with PBE.

Summary:
E_form in eV/atom: -0.15
Offset from the most stable computed form in meV/atom: 0.0
Total magnetic moment in μB per formula unit: 0.000

a = 3.228 Å, b = 3.228 Å, c = 8.625 Å
α = 90.00°, β = 90.00°, γ = 90.00°
Space group P4mm (No. 99)
Inequivalent atoms, fractional coordinates:
Mg: 0.000 0.000 0.000 x1
Zr: 0.500 0.500 0.264 x1
Sc: 0.000 0.000 0.513 x1
Cd: 0.500 0.500 0.764 x1

Crystalline LaNi2Os at its relaxed geometry, computed with PBE.

Summary:
E_form in eV/atom: 0.36
Offset from the most stable computed form in meV/atom: 499.9
Total magnetic moment in μB per formula unit: 0.994

a = 4.033 Å, b = 4.033 Å, c = 8.045 Å
α = 90.00°, β = 90.00°, γ = 90.00°
Space group I-4m2 (No. 119)
Inequivalent atoms, fractional coordinates:
La: 0.000 0.000 0.000 x2
Ni: 0.000 0.000 0.500 x2
Ni: 0.000 0.500 0.750 x2
Os: 0.000 0.500 0.250 x2

Crystalline PtAu at its relaxed geometry, computed with PBE.

Summary:
E_form in eV/atom: 0.05
Total magnetic moment in μB per formula unit: 0.000

a = 2.861 Å, b = 4.030 Å, c = 5.832 Å
α = 90.00°, β = 90.00°, γ = 90.00°
Space group Pmmn (No. 59, origin choice 2)
Inequivalent atoms, fractional coordinates:
Pt: 0.250 0.250 0.116 x2
Au: 0.250 0.250 0.628 x2

Crystalline Y2MgBIr at its relaxed geometry, computed with PBE.

Summary:
E_form in eV/atom: -0.44
Total magnetic moment in μB per formula unit: 0.000

a = 5.118 Å, b = 5.118 Å, c = 4.028 Å
α = 90.00°, β = 90.00°, γ = 90.00°
Space group P4/mmm (No. 123)
Inequivalent atoms, fractional coordinates:
Y: 0.000 0.500 0.000 x2
Mg: 0.000 0.000 0.500 x1
B: 0.500 0.500 0.000 x1
Ir: 0.500 0.500 0.500 x1

Crystalline ZrCdH at its relaxed geometry, computed with PBE.

Summary:
Offset from the most stable computed form in meV/atom: 0.0
Total magnetic moment in μB per formula unit: 0.000

a = 5.517 Å, b = 3.476 Å, c = 10.133 Å
α = 90.00°, β = 95.59°, γ = 90.00°
Space group C2/m (No. 12)
Inequivalent atoms, fractional coordinates:
Zr: 0.247 0.000 0.137 x4
Cd: 0.149 0.500 0.380 x4
H: 0.127 0.000 0.933 x4

Crystalline As3PdBr at its relaxed geometry, computed with PBE.

Summary:
Formation energy without anion corrections in meV per atom: 625
Offset from the most stable computed form in meV/atom: 0.0
Total magnetic moment in μB per formula unit: 1.483

a = 4.954 Å, b = 4.954 Å, c = 4.954 Å
α = 90.00°, β = 90.00°, γ = 90.00°
Space group Pm-3m (No. 221)
Inequivalent atoms, fractional coordinates:
As: 0.000 0.000 0.500 x3
Pd: 0.000 0.000 0.000 x1
Br: 0.500 0.500 0.500 x1

Crystalline Cs8RbHg6 at its relaxed geometry, computed with PBE.

Summary:
E_form in eV/atom: -0.16
Total magnetic moment in μB per formula unit: 0.000

a = 11.2915 Å, b = 11.2915 Å, c = 24.4474 Å
α = 90.00°, β = 90.00°, γ = 120.00°
Space group R-3 (No. 148, hexagonal axes)
Inequivalent atoms, fractional coordinates:
Cs: 0.0000 0.0000 0.1664 x6
Cs: 0.9999 0.3312 0.3885 x18
Rb: 0.0000 0.0000 0.5000 x3
Hg: 0.9999 0.3291 0.5538 x18